Entry 1:
# Zr2ScIrN PBE-GGA optimized geometry
# DOS(E_F): 4.42 states/eV/cell
# energy relative to the elements, uncorrected: -1001 meV per atom
data_Zr2ScIrN
_chemical_formula_sum 'Zr2 Sc1 Ir1 N1'
_cell_length_a 4.468
_cell_length_b 4.468
_cell_length_c 4.243
_cell_angle_alpha 90.00
_cell_angle_beta 90.00
_cell_angle_gamma 90.00
_symmetry_space_group_name_H-M 'P 4/m m m'
_symmetry_Int_Tables_number 123
_symmetry_space_group_name_Hall '-P 4 2'
loop_
_atom_site_label
_atom_site_type_symbol
_atom_site_fract_x
_atom_site_fract_y
_atom_site_fract_z
Zr1 Zr 0.000 0.500 0.000
Sc1 Sc 0.000 0.000 0.500
Ir1 Ir 0.500 0.500 0.500
N1 N 0.000 0.000 0.000

Entry 2:
# TiIr3Os PBE-GGA optimized geometry
# distance to the lowest polymorph of the same formula: 110 meV per atom
# DOS(E_F): 6.71 states/eV/cell
# calculated formation energy: 1.667 eV per atom
data_TiIr3Os
_chemical_formula_sum 'Ti1 Ir3 Os1'
_cell_length_a 4.495
_cell_length_b 4.495
_cell_length_c 4.495
_cell_angle_alpha 90.00
_cell_angle_beta 90.00
_cell_angle_gamma 90.00
_symmetry_space_group_name_H-M 'P m -3 m'
_symmetry_Int_Tables_number 221
_symmetry_space_group_name_Hall '-P 4 2 3'
loop_
_atom_site_label
_atom_site_type_symbol
_atom_site_fract_x
_atom_site_fract_y
_atom_site_fract_z
Ti1 Ti 0.000 0.000 0.000
Ir1 Ir 0.000 0.000 0.500
Os1 Os 0.500 0.500 0.500

Entry 3:
# MgSi2Os PBE-GGA optimized geometry
# DOS(E_F): 2.47 states/eV/cell
# energy relative to the elements, uncorrected: -39 meV per atom
data_MgSi2Os
_chemical_formula_sum 'Mg1 Si2 Os1'
_cell_length_a 3.107
_cell_length_b 4.188
_cell_length_c 4.860
_cell_angle_alpha 90.00
_cell_angle_beta 90.00
_cell_angle_gamma 90.00
_symmetry_space_group_name_H-M 'P m m m'
_symmetry_Int_Tables_number 47
loop_
_symmetry_equiv_pos_as_xyz
'x,y,z'
'-x,-y,-z'
'-x,-y,z'
'x,y,-z'
'x,-y,-z'
'-x,y,z'
'-x,y,-z'
'x,-y,z'
loop_
_atom_site_label
_atom_site_type_symbol
_atom_site_fract_x
_atom_site_fract_y
_atom_site_fract_z
Mg1 Mg 0.000 0.000 0.000
Si1 Si 0.500 0.500 0.250
Os1 Os 0.500 0.000 0.500

The highest DOS(E_F) belongs to which entry?
TiIr3Os